# 1
# CoAs2Os GGA-PBE relaxed
data_CoAs2Os
_cell_length_a 3.058
_cell_length_b 3.058
_cell_length_c 6.057
_cell_angle_alpha 90.00
_cell_angle_beta 90.00
_cell_angle_gamma 90.00
_space_group_name_H-M_alt 'P 4/m m m'
_space_group_IT_number 123
_space_group_name_Hall '-P 4 2'
loop_
_atom_site_label
_atom_site_fract_x
_atom_site_fract_y
_atom_site_fract_z
_atom_site_occupancy
Co1 0.000 0.000 0.000 1
As1 0.500 0.500 0.240 1
Os1 0.000 0.000 0.500 1
# calculated formation energy = 0.2701 eV per atom
# VASP energy = -26.6 eV for the cell shown
# crystal system = tetragonal
# distance to the lowest polymorph of the same formula = 181 meV/atom

***

# 2
# YSnI2O GGA-PBE relaxed
data_YSnI2O
_cell_length_a 6.268
_cell_length_b 6.268
_cell_length_c 4.173
_cell_angle_alpha 90.00
_cell_angle_beta 90.00
_cell_angle_gamma 90.00
_space_group_name_H-M_alt 'P 4/m m m'
_space_group_IT_number 123
_space_group_name_Hall '-P 4 2'
loop_
_atom_site_label
_atom_site_fract_x
_atom_site_fract_y
_atom_site_fract_z
_atom_site_occupancy
Y1 0.000 0.000 0.000 1
Sn1 0.500 0.500 0.500 1
I1 0.000 0.500 0.000 1
O1 0.000 0.000 0.500 1
# VASP energy = -24.3 eV for the cell shown
# E_form (uncorrected) = -1.14 eV per atom
# crystal system = tetragonal
# distance to the lowest polymorph of the same formula = 0 meV/atom

***

# 3
# Al2NiAu GGA-PBE relaxed
data_Al2NiAu
_cell_length_a 2.8909
_cell_length_b 2.8909
_cell_length_c 24.5966
_cell_angle_alpha 90.00
_cell_angle_beta 90.00
_cell_angle_gamma 120.00
_space_group_name_H-M_alt 'R -3 m'
_space_group_IT_number 166
_space_group_name_Hall '-R 3 2"'
loop_
_atom_site_label
_atom_site_fract_x
_atom_site_fract_y
_atom_site_fract_z
_atom_site_occupancy
Al1 0.0000 0.0000 0.2413 1
Ni1 0.0000 0.0000 0.5000 1
Au1 0.0000 0.0000 0.0000 1
# calculated formation energy = -0.2941 eV per atom
# VASP energy = -53.2 eV for the cell shown
# crystal system = trigonal

***

Which of these has the highest VASP energy? YSnI2O